DFT (PBE-GGA) results for a relaxed NdAl4Zn crystal.

Geometry as POSCAR:
```
NdAl4Zn
1.0
-4.291 -1.248 -2.506
2.467 -3.854 -2.304
-1.789 -3.849 10.218
Al Nd Zn
8 2 2
Direct
0.147 0.394 0.295 Al
0.144 0.397 0.795 Al
0.603 0.856 0.205 Al
0.603 0.350 0.205 Al
0.606 0.853 0.705 Al
0.650 0.397 0.795 Al
0.100 0.853 0.705 Al
0.147 0.900 0.295 Al
0.000 0.000 0.000 Nd
0.750 0.250 0.500 Nd
0.500 0.500 0.000 Zn
0.250 0.750 0.500 Zn
```

Calculated values
The calculation puts the formation energy at 0.06 eV per atom. The space group is I4_1/amd, No. 141. Its total energy is -3.45 eV/atom.